# 1
DFT (PBE-GGA) results for a relaxed RbPrMnCl6 crystal.

```
data_RbPrMnCl6
_cell_length_a 6.6719
_cell_length_b 6.6719
_cell_length_c 14.8766
_cell_angle_alpha 90.00
_cell_angle_beta 90.00
_cell_angle_gamma 120.00
_space_group_name_H-M_alt 'P -3 1 c'
_space_group_IT_number 163
_space_group_name_Hall '-P 3 2c'
loop_
_atom_site_label
_atom_site_type_symbol
_atom_site_fract_x
_atom_site_fract_y
_atom_site_fract_z
Rb1 Rb 0.0000 0.0000 0.0000
Pr1 Pr 0.3333 0.6667 0.2500
Mn1 Mn 0.3333 0.6667 0.7500
Cl1 Cl 0.0448 0.3863 0.6526
```

crystal system = trigonal

# 2
DFT (PBE-GGA) results for a relaxed MgSnO crystal.

```
data_MgSnO
_cell_length_a 5.6704
_cell_length_b 12.0103
_cell_length_c 2.9742
_cell_angle_alpha 90.00
_cell_angle_beta 90.00
_cell_angle_gamma 90.00
_space_group_name_H-M_alt 'C m m m'
_space_group_IT_number 65
_space_group_name_Hall '-C 2 2'
loop_
_atom_site_label
_atom_site_type_symbol
_atom_site_fract_x
_atom_site_fract_y
_atom_site_fract_z
Mg1 Mg 0.2500 0.2500 0.0000
Sn1 Sn 0.0000 0.0000 0.0000
Sn2 Sn 0.0000 0.5000 0.5000
O1 O 0.0000 0.2879 0.5000
```

crystal system = orthorhombic

# 3
DFT (PBE-GGA) results for a relaxed BaY2Ta crystal.

```
data_BaY2Ta
_cell_length_a 5.1258
_cell_length_b 5.1258
_cell_length_c 9.1144
_cell_angle_alpha 90.00
_cell_angle_beta 90.00
_cell_angle_gamma 90.00
_space_group_name_H-M_alt 'I 4/m m m'
_space_group_IT_number 139
_space_group_name_Hall '-I 4 2'
loop_
_atom_site_label
_atom_site_type_symbol
_atom_site_fract_x
_atom_site_fract_y
_atom_site_fract_z
Ba1 Ba 0.0000 0.0000 0.0000
Y1 Y 0.0000 0.5000 0.2500
Ta1 Ta 0.0000 0.0000 0.5000
```

formation energy = 701 meV per atom
crystal system = tetragonal

# 4
DFT (PBE-GGA) results for a relaxed CaLaEuSn crystal.

```
data_CaLaEuSn
_cell_length_a 8.0394
_cell_length_b 8.0394
_cell_length_c 8.0394
_cell_angle_alpha 90.00
_cell_angle_beta 90.00
_cell_angle_gamma 90.00
_space_group_name_H-M_alt 'F -4 3 m'
_space_group_IT_number 216
_space_group_name_Hall 'F -4 2 3'
loop_
_atom_site_label
_atom_site_type_symbol
_atom_site_fract_x
_atom_site_fract_y
_atom_site_fract_z
Ca1 Ca 0.0000 0.0000 0.0000
La1 La 0.2500 0.2500 0.2500
Eu1 Eu 0.2500 0.2500 0.7500
Sn1 Sn 0.0000 0.0000 0.5000
```

formation energy = -318 meV per atom
crystal system = cubic

# 5
DFT (PBE-GGA) results for a relaxed CrMoCl2 crystal.

```
data_CrMoCl2
_cell_length_a 3.2729
_cell_length_b 4.1464
_cell_length_c 5.2323
_cell_angle_alpha 90.00
_cell_angle_beta 93.52
_cell_angle_gamma 90.00
_space_group_name_H-M_alt 'P 1 2/m 1'
_space_group_IT_number 10
_space_group_name_Hall '-P 2y'
loop_
_atom_site_label
_atom_site_type_symbol
_atom_site_fract_x
_atom_site_fract_y
_atom_site_fract_z
Cr1 Cr 0.0000 0.0000 0.0000
Mo1 Mo 0.5000 0.0000 0.5000
Cl1 Cl 0.2774 0.5000 0.2571
```

crystal system = monoclinic

# 6
DFT (PBE-GGA) results for a relaxed Y2TiBe3Pt4 crystal.

```
data_Y2TiBe3Pt4
_cell_length_a 4.0022
_cell_length_b 4.0022
_cell_length_c 10.2653
_cell_angle_alpha 90.00
_cell_angle_beta 90.00
_cell_angle_gamma 90.00
_space_group_name_H-M_alt 'P -4 m 2'
_space_group_IT_number 115
_space_group_name_Hall 'P -4 -2'
loop_
_atom_site_label
_atom_site_type_symbol
_atom_site_fract_x
_atom_site_fract_y
_atom_site_fract_z
Y1 Y 0.0000 0.5000 0.2356
Ti1 Ti 0.0000 0.0000 0.5000
Be1 Be 0.0000 0.5000 0.8823
Be2 Be 0.5000 0.5000 0.5000
Pt1 Pt 0.0000 0.0000 0.0000
Pt2 Pt 0.0000 0.5000 0.6508
Pt3 Pt 0.5000 0.5000 0.0000
```

formation energy = -898 meV per atom
crystal system = tetragonal

# 7
DFT (PBE-GGA) results for a relaxed Mg2AlGe2Pd5 crystal.

```
data_Mg2AlGe2Pd5
_cell_length_a 10.1014
_cell_length_b 10.1014
_cell_length_c 3.2287
_cell_angle_alpha 90.00
_cell_angle_beta 90.00
_cell_angle_gamma 90.00
_space_group_name_H-M_alt 'P 4/m b m'
_space_group_IT_number 127
_space_group_name_Hall '-P 4 2ab'
loop_
_atom_site_label
_atom_site_type_symbol
_atom_site_fract_x
_atom_site_fract_y
_atom_site_fract_z
Mg1 Mg 0.1688 0.3312 0.0000
Al1 Al 0.0000 0.0000 0.0000
Ge1 Ge 0.1393 0.6393 0.0000
Pd1 Pd 0.0000 0.5000 0.5000
Pd2 Pd 0.0263 0.7979 0.5000
```

formation energy = -577 meV per atom
crystal system = tetragonal

# 8
DFT (PBE-GGA) results for a relaxed Tl3PdRh2O6 crystal.

```
data_Tl3PdRh2O6
_cell_length_a 5.5623
_cell_length_b 9.6289
_cell_length_c 6.8391
_cell_angle_alpha 90.00
_cell_angle_beta 105.73
_cell_angle_gamma 90.00
_space_group_name_H-M_alt 'C 1 2/m 1'
_space_group_IT_number 12
_space_group_name_Hall '-C 2y'
loop_
_atom_site_label
_atom_site_type_symbol
_atom_site_fract_x
_atom_site_fract_y
_atom_site_fract_z
Tl1 Tl 0.0000 0.0000 0.0000
Tl2 Tl 0.0000 0.3338 0.0000
Pd1 Pd 0.0000 0.5000 0.5000
Rh1 Rh 0.0000 0.1667 0.5000
O1 O 0.2142 0.0000 0.6482
O2 O 0.2171 0.3326 0.6482
```

crystal system = monoclinic

# 9
DFT (PBE-GGA) results for a relaxed Mg4Si3 crystal.

```
data_Mg4Si3
_cell_length_a 5.9864
_cell_length_b 7.1402
_cell_length_c 7.4960
_cell_angle_alpha 112.57
_cell_angle_beta 98.80
_cell_angle_gamma 105.39
_space_group_name_H-M_alt 'P 1'
_space_group_IT_number 1
_space_group_name_Hall 'P 1'
loop_
_atom_site_label
_atom_site_type_symbol
_atom_site_fract_x
_atom_site_fract_y
_atom_site_fract_z
Mg1 Mg 0.0000 0.0000 0.0000
Mg2 Mg 0.0177 0.2527 0.7414
Mg3 Mg 0.0816 0.9123 0.3876
Mg4 Mg 0.2269 0.6955 0.7153
Mg5 Mg 0.3369 0.5546 0.2722
Mg6 Mg 0.5338 0.9835 0.2051
Mg7 Mg 0.5614 0.3924 0.5968
Mg8 Mg 0.7941 0.4488 0.2437
Si1 Si 0.0153 0.6278 0.0093
Si2 Si 0.0580 0.2785 0.3918
Si3 Si 0.4158 0.1884 0.9113
Si4 Si 0.5284 0.9973 0.6114
Si5 Si 0.5866 0.5903 0.9860
Si6 Si 0.7782 0.7792 0.5877
```

crystal system = triclinic

# 10
DFT (PBE-GGA) results for a relaxed Pm3Pr4Tl crystal.

```
data_Pm3Pr4Tl
_cell_length_a 5.0367
_cell_length_b 10.3484
_cell_length_c 10.2736
_cell_angle_alpha 90.00
_cell_angle_beta 90.00
_cell_angle_gamma 90.00
_space_group_name_H-M_alt 'P m m n'
_space_group_IT_number 59
loop_
_space_group_symop_operation_xyz
'x,y,z'
'-x,-y,-z'
'-x+1/2,-y+1/2,z'
'x+1/2,y+1/2,-z'
'x+1/2,-y,-z'
'-x+1/2,y,z'
'-x,y+1/2,-z'
'x,-y+1/2,z'
loop_
_atom_site_label
_atom_site_type_symbol
_atom_site_fract_x
_atom_site_fract_y
_atom_site_fract_z
Pm1 Pm 0.2500 0.0058 0.1147
Pm2 Pm 0.2500 0.7500 0.8801
Pr1 Pr 0.2500 0.0056 0.6366
Pr2 Pr 0.2500 0.2500 0.3720
Pr3 Pr 0.2500 0.7500 0.3654
Tl1 Tl 0.2500 0.2500 0.8796
```

formation energy = -63 meV per atom
crystal system = orthorhombic

# 11
DFT (PBE-GGA) results for a relaxed ZrTaMn2 crystal.

```
data_ZrTaMn2
_cell_length_a 6.9273
_cell_length_b 6.9273
_cell_length_c 5.6330
_cell_angle_alpha 90.00
_cell_angle_beta 90.00
_cell_angle_gamma 90.00
_space_group_name_H-M_alt 'I -4 2 d'
_space_group_IT_number 122
_space_group_name_Hall 'I -4 2bw'
loop_
_atom_site_label
_atom_site_type_symbol
_atom_site_fract_x
_atom_site_fract_y
_atom_site_fract_z
Zr1 Zr 0.0000 0.0000 0.0000
Ta1 Ta 0.0000 0.0000 0.5000
Mn1 Mn 0.2342 0.2500 0.6250
```

formation energy = 520 meV per atom
crystal system = tetragonal

# 12
DFT (PBE-GGA) results for a relaxed DyPu2Th crystal.

```
data_DyPu2Th
_cell_length_a 3.5025
_cell_length_b 3.5025
_cell_length_c 33.2938
_cell_angle_alpha 90.00
_cell_angle_beta 90.00
_cell_angle_gamma 120.00
_space_group_name_H-M_alt 'R 3 m'
_space_group_IT_number 160
_space_group_name_Hall 'R 3 -2"'
loop_
_atom_site_label
_atom_site_type_symbol
_atom_site_fract_x
_atom_site_fract_y
_atom_site_fract_z
Dy1 Dy 0.0000 0.0000 0.0000
Pu1 Pu 0.0000 0.0000 0.2492
Pu2 Pu 0.0000 0.0000 0.4179
Th1 Th 0.0000 0.0000 0.8340
```

formation energy = 163 meV per atom
crystal system = trigonal

no.,E (eV per cell)
1,-80.0
2,-59.0
3,-47.8
4,-89.9
5,-22.7
6,-65.1
7,-95.8
8,-126.4
9,-45.3
10,-72.5
11,-146.6
12,-120.1